(1)
## YHf3Mg (PBE-GGA)

Data for YHf3Mg after structural relaxation.

Unit cell a=5.1264 b=5.1264 c=5.1264 alpha=90.00 beta=90.00 gamma=90.00
With the nearest neighbours (Å) after each atom.
Fractional coordinates of all 5 atoms:
Hf: 0.5000 0.0000 0.0000  2 Mg 2.56
Hf: 0.0000 0.0000 0.5000  2 Mg 2.56
Hf: 0.0000 0.5000 0.0000  2 Mg 2.56
Mg: 0.0000 0.0000 0.0000  6 Hf 2.56
Y: 0.5000 0.5000 0.5000  12 Hf 3.62

The value obtained for the relative energy among the computed polymorphs is 0 meV/atom. The space group is Pm-3m (221). The total magnetic moment is 0.00 μB per cell.

=====

(2)
## YHf2Mg (PBE-GGA)

Data for YHf2Mg after structural relaxation.

Unit cell a=4.2961 b=4.2961 c=11.3511 alpha=79.09 beta=79.09 gamma=90.00
With the nearest neighbours (Å) after each atom.
Fractional coordinates of all 8 atoms:
Y: 0.0000 0.0000 0.0000  4 Mg 3.04, 4 Hf 3.13
Y: 0.7500 0.2500 0.5000  4 Mg 3.04, 4 Hf 3.13
Hf: 0.3750 0.3787 0.7500  4 Hf 3.02-3.06, 2 Mg 3.12, 2 Y 3.13
Hf: 0.8750 0.8713 0.7500  4 Hf 3.02-3.06, 2 Mg 3.12, 2 Y 3.13
Hf: 0.1287 0.6250 0.2500  4 Hf 3.02-3.06, 2 Mg 3.12, 2 Y 3.13
Hf: 0.6213 0.1250 0.2500  4 Hf 3.02-3.06, 2 Mg 3.12, 2 Y 3.13
Mg: 0.2500 0.7500 0.5000  4 Y 3.04, 4 Hf 3.12
Mg: 0.5000 0.5000 0.0000  4 Y 3.04, 4 Hf 3.12

The space group is I-42d (122). The total magnetic moment is 0.00 μB per cell.

=====

(3)
## HfMg14Zn (PBE-GGA)

Data for HfMg14Zn after structural relaxation.

Unit cell a=6.3672 b=6.3672 c=10.1329 alpha=90.00 beta=90.00 gamma=121.09
With the nearest neighbours (Å) after each atom.
Fractional coordinates of all 16 atoms:
Hf: 0.3268 0.6732 0.5000  10 Mg 3.06-3.20, 2 Zn 3.13
Mg: 0.3336 0.6664 0.0000  12 Mg 3.13-3.20
Mg: 0.6731 0.3269 0.2647  1 Zn 3.00, 11 Mg 3.06-3.25
Mg: 0.8328 0.1672 0.0000  12 Mg 3.13-3.21
Mg: 0.3355 0.1694 0.0000  12 Mg 3.10-3.25
Mg: 0.8325 0.6790 0.5000  8 Mg 3.04-3.20, 2 Zn 3.06-3.31, 2 Hf 3.17-3.20
Mg: 0.1682 0.3366 0.2569  10 Mg 3.04-3.25, 1 Zn 3.05, 1 Hf 3.07
Mg: 0.6731 0.3269 0.7353  1 Zn 3.00, 11 Mg 3.06-3.25
Mg: 0.1701 0.8299 0.2515  1 Hf 3.06, 11 Mg 3.12-3.23
Mg: 0.1701 0.8299 0.7485  1 Hf 3.06, 11 Mg 3.12-3.23
Mg: 0.8306 0.6645 0.0000  12 Mg 3.10-3.25
Mg: 0.6634 0.8318 0.2569  10 Mg 3.04-3.25, 1 Zn 3.05, 1 Hf 3.07
Mg: 0.3210 0.1675 0.5000  8 Mg 3.04-3.20, 2 Zn 3.06-3.31, 2 Hf 3.17-3.20
Mg: 0.6634 0.8318 0.7431  10 Mg 3.04-3.25, 1 Zn 3.05, 1 Hf 3.07
Mg: 0.1682 0.3366 0.7431  10 Mg 3.04-3.25, 1 Zn 3.05, 1 Hf 3.07
Zn: 0.8378 0.1622 0.5000  10 Mg 3.00-3.31, 2 Hf 3.13

The value obtained for the relative energy among the computed polymorphs is 0 meV/atom. The space group is Amm2 (38). The total magnetic moment is 0.00 μB per cell.

=====

(4)
## HfMg2Zn2 (PBE-GGA)

Data for HfMg2Zn2 after structural relaxation.

Unit cell a=7.9872 b=7.9872 c=2.8577 alpha=90.00 beta=90.00 gamma=90.00
With the nearest neighbours (Å) after each atom.
Fractional coordinates of all 10 atoms:
Hf: 0.5000 0.5000 0.0000  2 Hf 2.86, 4 Mg 3.15
Hf: 0.0000 0.0000 0.0000  2 Hf 2.86, 4 Mg 3.15
Zn: 0.1738 0.6738 0.5000  6 Mg 2.67-2.82, 2 Zn 2.86
Zn: 0.3262 0.1738 0.5000  6 Mg 2.67-2.82, 2 Zn 2.86
Zn: 0.8262 0.3262 0.5000  6 Mg 2.67-2.82, 2 Zn 2.86
Zn: 0.6738 0.8262 0.5000  6 Mg 2.67-2.82, 2 Zn 2.86
Mg: 0.1264 0.3736 0.0000  6 Zn 2.67-2.82, 3 Mg 2.86
Mg: 0.6264 0.1264 0.0000  6 Zn 2.67-2.82, 3 Mg 2.86
Mg: 0.3736 0.8736 0.0000  6 Zn 2.67-2.82, 3 Mg 2.86
Mg: 0.8736 0.6264 0.0000  6 Zn 2.67-2.82, 3 Mg 2.86

The value obtained for the relative energy among the computed polymorphs is 46 meV/atom. The space group is P4/mbm (127). The total magnetic moment is 0.00 μB per cell.

=====

The evaluated ΔE_f for the records listed, in turn: 1039; 531; 26; 44 meV per atom.